1.
# PBE-GGA SrSmEr, relaxed
data_SrSmEr
_cell_length_a 5.7473
_cell_length_b 5.7473
_cell_length_c 5.7473
_cell_angle_alpha 60.00
_cell_angle_beta 60.00
_cell_angle_gamma 60.00
_symmetry_space_group_name_H-M 'P 1'
_symmetry_Int_Tables_number 1
loop_
_symmetry_equiv_pos_as_xyz
'x,y,z'
loop_
_atom_site_label
_atom_site_type_symbol
_atom_site_fract_x
_atom_site_fract_y
_atom_site_fract_z
Sm1 Sm 0.2500 0.2500 0.2500
Sr1 Sr 0.7500 0.7500 0.7500
Er1 Er 0.0000 0.0000 0.0000
# Offset from the most stable computed form, eV per formula unit: 0.00
# Crystal system: cubic
# Volume, Å³/atom: 44.746
# Symmetry: No. 216
# Electronic total energy, eV/atom: -2.862
# Magnetic moment, μB/f.u.: 0.01

=====

2.
# PBE-GGA SmErTa, relaxed
data_SmErTa
_cell_length_a 5.0186
_cell_length_b 5.0186
_cell_length_c 5.0186
_cell_angle_alpha 60.00
_cell_angle_beta 60.00
_cell_angle_gamma 60.00
_symmetry_space_group_name_H-M 'P 1'
_symmetry_Int_Tables_number 1
loop_
_symmetry_equiv_pos_as_xyz
'x,y,z'
loop_
_atom_site_label
_atom_site_type_symbol
_atom_site_fract_x
_atom_site_fract_y
_atom_site_fract_z
Ta1 Ta 0.7500 0.7500 0.7500
Sm1 Sm 0.2500 0.2500 0.2500
Er1 Er 0.0000 0.0000 0.0000
# Offset from the most stable computed form, eV per formula unit: 0.00
# Crystal system: cubic
# Volume, Å³/atom: 29.793
# Symmetry: No. 216
# Electronic total energy, eV/atom: -5.761
# Magnetic moment, μB/f.u.: 1.48

=====

3.
# PBE-GGA TbSmEr, relaxed
data_TbSmEr
_cell_length_a 5.4274
_cell_length_b 5.4274
_cell_length_c 5.4274
_cell_angle_alpha 60.00
_cell_angle_beta 60.00
_cell_angle_gamma 60.00
_symmetry_space_group_name_H-M 'P 1'
_symmetry_Int_Tables_number 1
loop_
_symmetry_equiv_pos_as_xyz
'x,y,z'
loop_
_atom_site_label
_atom_site_type_symbol
_atom_site_fract_x
_atom_site_fract_y
_atom_site_fract_z
Er1 Er 0.0000 0.0000 0.0000
Sm1 Sm 0.2500 0.2500 0.2500
Tb1 Tb 0.7500 0.7500 0.7500
# Offset from the most stable computed form, eV per formula unit: 0.00
# Crystal system: cubic
# Volume, Å³/atom: 37.683
# Symmetry: No. 216
# Electronic total energy, eV/atom: -3.925
# Magnetic moment, μB/f.u.: 0.01